No. 1
LiMgInMo3O12 meta-GGA SCAN single point on PBEsol structure; symmetry = P-1; N(E_F) = 0.0000 states/eV per atom; raw total energy = -521.762 eV/cell; formation energy from raw total energies = -2261 meV per atom; total magnetization = 0.004 μB/f.u.
1.0
6.990 0.008 -0.011
-1.718 8.240 0.040
-2.788 -1.658 9.205
O Mo Li Mg In
24 6 2 2 2
direct
0.349 0.525 0.743
0.502 0.123 0.195
0.945 0.475 0.851
0.233 0.125 0.739
0.351 0.720 0.013
0.444 0.735 0.353
0.249 0.441 0.419
0.735 0.688 0.968
0.556 0.265 0.647
0.860 0.144 0.813
0.767 0.875 0.261
0.061 0.707 0.426
0.498 0.877 0.805
0.140 0.856 0.187
0.751 0.559 0.581
0.939 0.293 0.574
0.055 0.525 0.149
0.265 0.312 0.032
0.840 0.904 0.575
0.651 0.475 0.257
0.160 0.096 0.425
0.649 0.280 0.987
0.958 0.131 0.137
0.042 0.869 0.863
0.483 0.700 0.882
0.517 0.300 0.118
0.994 0.009 0.749
0.802 0.394 0.667
0.006 0.991 0.251
0.198 0.606 0.333
0.540 0.109 0.801
0.460 0.891 0.199
0.960 0.306 0.006
0.040 0.694 0.994
0.254 0.303 0.595
0.746 0.697 0.405


No. 2
Li2MnIn meta-GGA SCAN single point on PBEsol structure; symmetry = Pmmm; N(E_F) = 0.4783 states/eV per atom; raw total energy = -56.745 eV/cell; total magnetization = 4.137 μB/f.u.; energy of formation from the pure elements = -0.3 eV per formula unit
1.0
-2.701 -0.830 0.412
0.722 -3.515 -2.347
1.539 -2.738 4.574
Mn Li In
1 2 1
direct
0.500 0.500 0.000
0.000 0.000 0.755
0.000 0.000 0.245
0.500 0.500 0.500


No. 3
Li2MnIn meta-GGA SCAN single point on PBEsol structure; symmetry = C2/m; N(E_F) = 0.4082 states/eV per atom; raw total energy = -56.844 eV/cell; total magnetization = 3.932 μB/f.u.; energy of formation from the pure elements = -0.4 eV per formula unit
1.0
2.863 -0.049 0.000
-0.381 4.946 0.000
-1.241 -2.448 4.810
Mn Li In
1 2 1
direct
0.500 0.000 0.000
0.000 0.000 0.500
0.500 0.500 0.500
0.000 0.500 0.000